{"formula": "MgCdAu2", "functional": "PBE", "state": "optimized geometry", "lattice": [[3.3939, 0.0000, 0.0000], [0.0000, 3.8150, 0.0000], [0.0000, 0.0000, 5.9056]], "species": ["Au", "Cd", "Mg", "Au"], "frac_coords": [[0.5000, 0.5000, 0.2604], [0.0000, 0.0000, 0.4837], [0.5000, 0.5000, 0.7788], [0.0000, 0.0000, 0.9771]], "volume_a3_per_atom": 19.1, "formation_energy_mev_per_atom": -318, "density_g_cm3": 11.524, "dft_energy_ev_per_fu": -10.3, "dos_at_fermi_per_ev_cell": 0.8}